# Ta2Te2O9, relaxed, DFT PBE
# total DFT energy (no corrections) = -7.75 eV/atom
data_Ta2Te2O9
_chemical_formula_sum 'Ta8 Te8 O36'
_symmetry_space_group_name_H-M 'P 1 21/c 1'
_symmetry_Int_Tables_number 14
_cell_length_a 7.2388
_cell_length_b 7.6661
_cell_length_c 14.9667
_cell_angle_alpha 90.00
_cell_angle_beta 102.40
_cell_angle_gamma 90.00
loop_
_symmetry_equiv_pos_as_xyz
'x,y,z'
'-x,-y,-z'
'-x,y+1/2,-z+1/2'
'x,-y+1/2,z+1/2'
loop_
_atom_site_label
_atom_site_fract_x
_atom_site_fract_y
_atom_site_fract_z
Ta1 0.0537 0.1986 0.4317
Ta2 0.3638 0.0048 0.0969
Te1 0.1309 0.6283 0.3139
Te2 0.4565 0.0662 0.3287
O1 0.0000 0.0000 0.5000
O2 0.1015 0.5882 0.1867
O3 0.1130 0.1065 0.8485
O4 0.1708 0.6672 0.5534
O5 0.2095 0.1959 0.0394
O6 0.2715 0.0594 0.2160
O7 0.2802 0.0640 0.4059
O8 0.4006 0.6517 0.3318
O9 0.4871 0.1903 0.8297
O10 0.5000 0.0000 0.0000